(1)
CdAsIr2 after structural relaxation, computed with PBE-GGA.

Calculated density   14.39 Mg/m³
Total magnetic moment   0.00 μB per cell
Offset from the most stable computed form   0.337 eV per atom
N(E_F)   4.51 states/eV/f.u.

```
data_CdAsIr2
_chemical_formula_sum 'Cd2 As2 Ir4'
_cell_length_a 3.9759
_cell_length_b 3.9759
_cell_length_c 8.3461
_cell_angle_alpha 90.00
_cell_angle_beta 90.00
_cell_angle_gamma 90.00
_symmetry_space_group_name_H-M 'I -4 m 2'
_symmetry_Int_Tables_number 119
_symmetry_space_group_name_Hall 'I -4 -2'
loop_
_atom_site_label
_atom_site_type_symbol
_atom_site_fract_x
_atom_site_fract_y
_atom_site_fract_z
_atom_site_occupancy
Cd1 Cd 0.0000 0.0000 0.0000 1
As1 As 0.0000 0.5000 0.2500 1
Ir1 Ir 0.0000 0.0000 0.5000 1
Ir2 Ir 0.0000 0.5000 0.7500 1
```

(2)
Cs2ScSnF6 after structural relaxation, computed with PBE-GGA.

Final energy   -5.270 eV per atom
Calculated density   4.01 Mg/m³
Total magnetic moment   2.00 μB per cell
N(E_F)   0.00 states/eV/f.u.

```
data_Cs2ScSnF6
_chemical_formula_sum 'Cs4 Sc2 Sn2 F12'
_cell_length_a 6.2900
_cell_length_b 6.2900
_cell_length_c 11.3725
_cell_angle_alpha 90.00
_cell_angle_beta 90.00
_cell_angle_gamma 90.00
_symmetry_space_group_name_H-M 'I 4/m m m'
_symmetry_Int_Tables_number 139
_symmetry_space_group_name_Hall '-I 4 2'
loop_
_atom_site_label
_atom_site_type_symbol
_atom_site_fract_x
_atom_site_fract_y
_atom_site_fract_z
_atom_site_occupancy
Cs1 Cs 0.0000 0.5000 0.2500 1
Sc1 Sc 0.0000 0.0000 0.0000 1
Sn1 Sn 0.0000 0.0000 0.5000 1
F1 F 0.0000 0.0000 0.1775 1
F2 F 0.2304 0.2304 0.0000 1
```

(3)
Hg4Mo after structural relaxation, computed with PBE-GGA.

Calculated density   8.80 Mg/m³
Total magnetic moment   3.22 μB per cell
Offset from the most stable computed form   0.128 eV per atom
N(E_F)   3.58 states/eV/f.u.

```
data_Hg4Mo
_chemical_formula_sum 'Hg4 Mo1'
_cell_length_a 5.5338
_cell_length_b 5.5338
_cell_length_c 5.5338
_cell_angle_alpha 90.00
_cell_angle_beta 90.00
_cell_angle_gamma 90.00
_symmetry_space_group_name_H-M 'P m -3 m'
_symmetry_Int_Tables_number 221
_symmetry_space_group_name_Hall '-P 4 2 3'
loop_
_atom_site_label
_atom_site_type_symbol
_atom_site_fract_x
_atom_site_fract_y
_atom_site_fract_z
_atom_site_occupancy
Hg1 Hg 0.0000 0.0000 0.0000 1
Hg2 Hg 0.0000 0.5000 0.5000 1
Mo1 Mo 0.5000 0.5000 0.5000 1
```

(4)
La3PCl2 after structural relaxation, computed with PBE-GGA.

Calculated density   5.48 Mg/m³
Total magnetic moment   0.00 μB per cell
Offset from the most stable computed form   0.000 eV per atom
N(E_F)   3.79 states/eV/f.u.

```
data_La3PCl2
_chemical_formula_sum 'La12 P4 Cl8'
_cell_length_a 7.2814
_cell_length_b 12.6372
_cell_length_c 7.2504
_cell_angle_alpha 90.00
_cell_angle_beta 109.62
_cell_angle_gamma 90.00
_symmetry_space_group_name_H-M 'C 1 2/m 1'
_symmetry_Int_Tables_number 12
loop_
_symmetry_equiv_pos_as_xyz
'x,y,z'
'-x,-y,-z'
'-x,y,-z'
'x,-y,z'
'x+1/2,y+1/2,z'
'-x+1/2,-y+1/2,-z'
'-x+1/2,y+1/2,-z'
'x+1/2,-y+1/2,z'
loop_
_atom_site_label
_atom_site_type_symbol
_atom_site_fract_x
_atom_site_fract_y
_atom_site_fract_z
_atom_site_occupancy
La1 La 0.2351 0.0000 0.2336 1
La2 La 0.2494 0.3289 0.2345 1
P1 P 0.0000 0.1667 0.0000 1
Cl1 Cl 0.0000 0.0000 0.5000 1
Cl2 Cl 0.0000 0.3328 0.5000 1
Cl3 Cl 0.0000 0.5000 0.0000 1
```